Entry 1:
Computed, not measured: an optimized crystal structure of TaInNi2 at the PBE level of DFT.

a = 8.1953 Å, b = 8.1953 Å, c = 8.1953 Å
α = 21.47°, β = 21.47°, γ = 21.47°
With the nearest neighbours (Å) after each atom.
Sites, in units of the cell vectors:
Ta  0.0000  0.0000  0.0000  6 Ni 2.56
In  0.5000  0.5000  0.5000  6 Ni 2.78, 6 In 3.05
Ni  0.2560  0.2560  0.2560  3 Ta 2.56, 3 In 2.78
Ni  0.7440  0.7440  0.7440  3 Ta 2.56, 3 In 2.78

The total magnetic moment is 0.000 μB/atom. The value obtained for the calculated formation energy is 0.101 eV per atom. Its density of states at the Fermi level is 2.79 states/eV/cell. The space-group type is R-3m.


Entry 2:
Computed, not measured: an optimized crystal structure of LiTb2P3Ir12 at the PBE level of DFT.

a = 6.6960 Å, b = 6.6960 Å, c = 6.6960 Å
α = 83.19°, β = 83.19°, γ = 83.19°
With the nearest neighbours (Å) after each atom.
Sites, in units of the cell vectors:
Li  0.0000  0.0000  0.0000  6 Ir 2.55
Tb  0.3722  0.3722  0.3722  6 Ir 2.62-2.88
Tb  0.6278  0.6278  0.6278  6 Ir 2.62-2.88
P  0.0000  0.0000  0.5000  2 Ir 2.25
P  0.0000  0.5000  0.0000  2 Ir 2.25
P  0.5000  0.0000  0.0000  2 Ir 2.25
Ir  0.1028  0.6271  0.6271  2 P 2.58, 1 Ir 2.67, 1 Tb 2.88
Ir  0.1728  0.1728  0.6767  1 P 2.25
Ir  0.1728  0.6767  0.1728  1 P 2.25
Ir  0.3233  0.8272  0.8272  1 P 2.25
Ir  0.3729  0.3729  0.8972  2 P 2.58, 1 Ir 2.67, 1 Tb 2.88
Ir  0.3729  0.8972  0.3729  2 P 2.58, 1 Ir 2.67, 1 Tb 2.88
Ir  0.6271  0.1028  0.6271  2 P 2.58, 1 Ir 2.67, 1 Tb 2.88
Ir  0.6271  0.6271  0.1028  2 P 2.58, 1 Ir 2.67, 1 Tb 2.88
Ir  0.6767  0.1728  0.1728  1 P 2.25
Ir  0.8272  0.3233  0.8272  1 P 2.25
Ir  0.8272  0.8272  0.3233  1 P 2.25
Ir  0.8972  0.3729  0.3729  2 P 2.58, 1 Ir 2.67, 1 Tb 2.88

The total magnetic moment is 0.000 μB/atom. The value obtained for the calculated formation energy is -0.112 eV per atom. Its density of states at the Fermi level is 9.21 states/eV/cell. The space-group type is R-3m.


Entry 3:
Computed, not measured: an optimized crystal structure of CuOsI2O at the PBE level of DFT.

a = 5.5506 Å, b = 5.5506 Å, c = 3.7341 Å
α = 90.00°, β = 90.00°, γ = 90.00°
With the nearest neighbours (Å) after each atom.
Sites, in units of the cell vectors:
Cu  0.0000  0.0000  0.0000  8 I 3.34, 2 Cu 3.73
Os  0.5000  0.5000  0.5000  2 O 1.87
I  0.0000  0.5000  0.5000  2 Os 2.78
I  0.5000  0.0000  0.5000  2 Os 2.78
O  0.5000  0.5000  0.0000  2 Os 1.87

The total magnetic moment is 0.000 μB/atom. The calculation puts the uncorrected formation energy at 1.245 eV per formula unit. Its density of states at the Fermi level is 3.29 states/eV/cell. The energy above the most stable polymorph in this dataset comes out at 0.0 meV per atom. The space-group type is P4/mmm.


Entry 4:
Computed, not measured: an optimized crystal structure of PrSnIr at the PBE level of DFT.

a = 7.5125 Å, b = 7.5125 Å, c = 4.2169 Å
α = 90.00°, β = 90.00°, γ = 120.00°
With the nearest neighbours (Å) after each atom.
Sites, in units of the cell vectors:
Pr  0.0000  0.5868  0.0000  5 Ir 3.09-3.10, 6 Sn 3.30-3.43
Pr  0.4132  0.4132  0.0000  5 Ir 3.09-3.10, 6 Sn 3.30-3.43
Pr  0.5868  0.0000  0.0000  5 Ir 3.09-3.10, 6 Sn 3.30-3.43
Sn  0.0000  0.2493  0.5000  4 Ir 2.82-2.87
Sn  0.2493  0.0000  0.5000  4 Ir 2.82-2.87
Sn  0.7507  0.7507  0.5000  4 Ir 2.82-2.87
Ir  0.0000  0.0000  0.0000  6 Sn 2.82, 3 Pr 3.10
Ir  0.3333  0.6667  0.5000  3 Sn 2.87, 6 Pr 3.09
Ir  0.6667  0.3333  0.5000  3 Sn 2.87, 6 Pr 3.09

The total magnetic moment is 0.000 μB/atom. The value obtained for the calculated formation energy is -0.764 eV per atom. Its density of states at the Fermi level is 5.15 states/eV/cell. The space-group type is P-62m.


Entry 5:
Computed, not measured: an optimized crystal structure of AcSm6Ho8 at the PBE level of DFT.

a = 8.6205 Å, b = 8.6205 Å, c = 8.6205 Å
α = 65.11°, β = 65.11°, γ = 65.11°
With the nearest neighbours (Å) after each atom.
Sites, in units of the cell vectors:
Ac  0.0000  0.0000  0.0000  6 Sm 3.55, 6 Ho 3.93
Sm  0.1061  0.5473  0.2680  3 Ho 3.23-3.47, 3 Sm 3.52-3.59, 1 Ac 3.55
Sm  0.2680  0.1061  0.5473  3 Ho 3.23-3.47, 3 Sm 3.52-3.59, 1 Ac 3.55
Sm  0.4527  0.7320  0.8939  3 Ho 3.23-3.47, 3 Sm 3.52-3.59, 1 Ac 3.55
Sm  0.5473  0.2680  0.1061  3 Ho 3.23-3.47, 3 Sm 3.52-3.59, 1 Ac 3.55
Sm  0.7320  0.8939  0.4527  3 Ho 3.23-3.47, 3 Sm 3.52-3.59, 1 Ac 3.55
Sm  0.8939  0.4527  0.7320  3 Ho 3.23-3.47, 3 Sm 3.52-3.59, 1 Ac 3.55
Ho  0.0842  0.7743  0.6486  7 Ho 3.41-3.72, 3 Sm 3.46-3.65
Ho  0.2257  0.3514  0.9158  7 Ho 3.41-3.72, 3 Sm 3.46-3.65
Ho  0.3514  0.9158  0.2257  7 Ho 3.41-3.72, 3 Sm 3.46-3.65
Ho  0.4295  0.4295  0.4295  1 Ho 2.86
Ho  0.5705  0.5705  0.5705  1 Ho 2.86
Ho  0.6486  0.0842  0.7743  7 Ho 3.41-3.72, 3 Sm 3.46-3.65
Ho  0.7743  0.6486  0.0842  7 Ho 3.41-3.72, 3 Sm 3.46-3.65
Ho  0.9158  0.2257  0.3514  7 Ho 3.41-3.72, 3 Sm 3.46-3.65

The total magnetic moment is 0.000 μB/atom. The value obtained for the calculated formation energy is 0.172 eV per atom. Its density of states at the Fermi level is 21.88 states/eV/cell. The energy above the most stable polymorph in this dataset comes out at 0.0 meV per atom. The space-group type is R-3.


Entry 6:
Computed, not measured: an optimized crystal structure of Cd2GeO at the PBE level of DFT.

a = 6.2378 Å, b = 6.2378 Å, c = 6.2378 Å
α = 119.64°, β = 119.64°, γ = 90.63°
With the nearest neighbours (Å) after each atom.
Sites, in units of the cell vectors:
Cd  0.0570  0.1250  0.4320  2 O 2.23
Cd  0.3750  0.9430  0.0680  2 O 2.23
Cd  0.6930  0.6250  0.5680  2 O 2.23
Cd  0.8750  0.3070  0.9320  2 O 2.23
Ge  0.2500  0.7500  0.5000  4 Cd 2.76
Ge  0.5000  0.5000  0.0000  4 Cd 2.76
O  0.0000  0.0000  0.0000  4 Cd 2.23
O  0.7500  0.2500  0.5000  4 Cd 2.23

The total magnetic moment is 0.000 μB/atom. The calculation puts the uncorrected formation energy at -0.951 eV per formula unit. Its density of states at the Fermi level is 1.92 states/eV/cell. The energy above the most stable polymorph in this dataset comes out at 0.0 meV per atom. The space-group type is I-42d.